Record 1
Computed, not measured: crystalline TlMo2PdO8 at its relaxed geometry at the GGA+U level of DFT.

Computed properties:
**Symmetry**: P-3m1
**Total magnetic moment**: 1.00 μB/f.u.

Cell: 5.849 5.849 7.640 Å, 90.00 90.00 120.00°
Fractional positions:
1 Tl 0.000 0.000 0.500
2 Mo 0.333 0.667 0.767
3 Mo 0.667 0.333 0.233
4 Pd 0.000 0.000 0.000
5 O 0.162 0.324 0.835
6 O 0.162 0.838 0.835
7 O 0.676 0.838 0.835
8 O 0.324 0.162 0.165
9 O 0.667 0.333 0.463
10 O 0.333 0.667 0.537
11 O 0.838 0.676 0.165
12 O 0.838 0.162 0.165



Record 2
Computed, not measured: crystalline V2MoPdO8 at its relaxed geometry at the GGA+U level of DFT.

Computed properties:
**Symmetry**: P-3m1
**Total magnetic moment**: 4.01 μB/f.u.

Cell: 5.837 5.837 5.779 Å, 90.00 90.00 120.00°
Fractional positions:
1 V 0.667 0.333 0.342
2 V 0.333 0.667 0.658
3 Mo 0.000 0.000 0.500
4 Pd 0.000 0.000 0.000
5 O 0.841 0.159 0.269
6 O 0.841 0.683 0.269
7 O 0.317 0.159 0.269
8 O 0.683 0.841 0.731
9 O 0.333 0.667 0.378
10 O 0.667 0.333 0.622
11 O 0.159 0.841 0.731
12 O 0.159 0.317 0.731



Record 3
Computed, not measured: crystalline Zr2MoPdO at its relaxed geometry at the GGA+U level of DFT.

Computed properties:
**Symmetry**: P4/mmm
**Total magnetic moment**: 1.95 μB/f.u.

Cell: 4.432 4.272 4.432 Å, 90.00 90.00 90.00°
Fractional positions:
1 O 0.000 0.000 0.000
2 Mo 0.000 0.500 0.000
3 Zr 0.000 0.000 0.500
4 Zr 0.500 0.000 0.000
5 Pd 0.500 0.500 0.500



no.,VASP energy (eV/atom)
1,-6.28
2,-6.94
3,-7.65